[1]
Below is an optimized crystal structure of Nd3Ho4Er4, with properties calculated at the PBE level.

```
11
Lattice="-0.491 3.368 0.937 -10.809 -2.132 1.995 7.681 -2.750 7.261" Properties=species:S:1:pos:R:3 pbc="T T T"
Ho -8.788 -0.001 2.045
Nd 0.446 -0.468 1.918
Er -7.589 -0.636 4.958
Ho -4.521 -1.993 4.795
Er -2.313 0.405 3.984
Nd -4.066 -1.045 8.274
Er 3.969 -0.877 5.235
Ho -2.513 1.237 0.887
Ho 0.901 0.480 5.398
Nd -5.404 -1.066 0.997
Er -1.306 -1.918 6.208
```

Computed properties:
The offset from the most stable computed form is 11.9 meV per atom. For the density of states at the Fermi level, the calculation gives 1.338 states/eV per atom. For the energy relative to the elements, the calculation gives 0.171 eV/atom.

[2]
Below is an optimized crystal structure of Nd14HoEr, with properties calculated at the PBE level.

```
16
Lattice="7.255 0.974 0.000 -0.973 7.255 0.000 0.000 0.000 10.346" Properties=species:S:1:pos:R:3 pbc="T T T"
Nd 0.056 6.470 7.789
Nd 2.113 4.899 5.173
Nd 0.543 2.844 2.560
Nd 4.169 3.329 7.784
Nd 5.738 5.383 0.000
Er 2.111 4.900 0.000
Nd 4.169 3.329 2.563
Nd 0.543 2.844 7.786
Nd 5.742 5.390 5.173
Nd 2.602 1.275 0.000
Nd 2.596 1.269 5.173
Nd 0.056 6.470 2.557
Nd 6.225 1.760 5.173
Nd 3.682 6.955 7.786
Nd 3.682 6.955 2.560
Ho 6.228 1.758 0.000
```

Computed properties:
For the density of states at the Fermi level, the calculation gives 1.535 states/eV per atom. For the energy relative to the elements, the calculation gives 0.014 eV/atom.

[3]
Below is an optimized crystal structure of NdHoEr6, with properties calculated at the PBE level.

```
8
Lattice="-0.619 5.910 -2.935 -2.999 2.337 5.276 3.890 5.410 2.419" Properties=species:S:1:pos:R:3 pbc="T T T"
Ho -1.500 1.169 2.638
Er 0.745 5.759 1.290
Er 0.777 8.737 -0.173
Nd 0.000 0.000 0.000
Er -0.473 7.898 3.470
Er 1.311 10.313 4.795
Er -0.505 4.921 4.932
Er -1.039 3.345 -0.035
```

Computed properties:
The offset from the most stable computed form is 0.0 meV per atom. For the density of states at the Fermi level, the calculation gives 1.631 states/eV per atom. For the energy relative to the elements, the calculation gives 0.212 eV/atom.

[4]
Below is an optimized crystal structure of Nd12Ho7Er, with properties calculated at the PBE level.

```
20
Lattice="6.097 0.000 -1.255 -3.176 9.828 -5.139 0.255 0.000 11.534" Properties=species:S:1:pos:R:3 pbc="T T T"
Ho -2.222 9.822 3.425
Nd 1.290 5.778 1.111
Nd -1.285 5.772 -1.108
Ho 3.049 0.000 -0.627
Ho 5.398 0.006 1.714
Nd 0.554 9.822 1.590
Nd 1.511 6.363 -4.054
Ho 4.815 2.393 9.177
Nd 2.622 0.006 3.549
Ho 1.641 7.429 4.049
Nd 0.126 1.721 5.771
Ho -1.639 7.435 -4.038
Nd 1.665 3.465 9.194
Nd 1.886 4.050 4.029
Ho 1.535 2.399 1.091
Nd 4.462 4.056 6.248
Nd 3.050 8.107 -0.631
Nd -1.509 6.357 4.065
Er 0.000 0.000 0.000
Nd 4.685 3.471 1.075
```

Computed properties:
For the density of states at the Fermi level, the calculation gives 1.407 states/eV per atom. For the energy relative to the elements, the calculation gives 0.230 eV/atom.

[5]
Below is an optimized crystal structure of Nd3HoEr4, with properties calculated at the PBE level.

```
8
Lattice="-1.287 -0.404 3.204 -4.187 -10.439 -2.998 8.299 2.649 1.782" Properties=species:S:1:pos:R:3 pbc="T T T"
Er 5.129 0.639 2.141
Ho -0.644 -0.202 1.602
Nd -2.093 -5.219 -1.499
Nd 2.712 -1.351 0.919
Nd 0.113 -6.842 1.068
Er 2.992 -4.686 0.611
Er -0.168 -3.507 1.376
Er -2.304 -8.832 -0.153
```

Computed properties:
The offset from the most stable computed form is 114.6 meV per atom. For the density of states at the Fermi level, the calculation gives 1.472 states/eV per atom. For the energy relative to the elements, the calculation gives 0.136 eV/atom.

[6]
Below is an optimized crystal structure of NdHo5Er6, with properties calculated at the PBE level.

```
12
Lattice="-1.295 -5.962 -0.299 2.348 -3.415 -4.484 8.730 -4.306 6.464" Properties=species:S:1:pos:R:3 pbc="T T T"
Er 7.210 -4.860 3.316
Ho 4.070 -8.260 1.486
Ho 0.702 -6.251 -3.188
Nd 0.000 0.000 0.000
Ho 5.713 -5.423 0.195
Ho 3.718 -5.134 3.083
Er 2.573 -8.822 -1.635
Er 5.565 -7.692 4.615
Er 1.870 -2.576 1.550
Er 2.226 -5.697 -0.045
Ho 0.351 -3.126 -1.595
Er 7.558 -7.985 1.727
```

Computed properties:
For the density of states at the Fermi level, the calculation gives 1.328 states/eV per atom. For the energy relative to the elements, the calculation gives 0.020 eV/atom.

[7]
Below is an optimized crystal structure of Nd5Ho4Er, with properties calculated at the PBE level.

```
10
Lattice="3.585 0.122 -0.033 -0.363 10.017 -2.053 1.760 -0.664 9.270" Properties=species:S:1:pos:R:3 pbc="T T T"
Ho 1.510 6.541 5.957
Nd 1.563 5.786 2.470
Nd 3.286 8.043 0.165
Ho 3.238 8.705 3.701
Nd 1.611 5.070 -1.043
Er 1.792 0.061 -0.017
Nd 1.696 1.432 7.018
Ho 1.744 0.771 3.482
Ho 3.472 2.934 1.226
Nd 3.419 3.689 4.713
```

Computed properties:
The offset from the most stable computed form is 2.1 meV per atom. For the density of states at the Fermi level, the calculation gives 1.276 states/eV per atom. For the energy relative to the elements, the calculation gives 0.019 eV/atom.

[8]
Below is an optimized crystal structure of Nd6Ho3Er2, with properties calculated at the PBE level.

```
11
Lattice="-0.928 4.257 -1.912 -4.321 -0.046 1.994 8.906 5.458 13.748" Properties=species:S:1:pos:R:3 pbc="T T T"
Er 5.716 6.883 12.548
Nd 4.312 7.880 9.529
Ho 2.445 2.944 5.367
Nd 3.715 4.473 8.154
Nd -0.058 5.196 5.675
Nd 1.041 3.941 2.347
Ho 0.000 0.000 0.000
Er -2.059 2.786 1.282
Ho 1.212 6.725 8.462
Nd -0.655 1.789 4.300
Nd 2.616 5.728 11.482
```

Computed properties:
The offset from the most stable computed form is 221.8 meV per atom. For the density of states at the Fermi level, the calculation gives 1.476 states/eV per atom. For the energy relative to the elements, the calculation gives 0.301 eV/atom.

[9]
Below is an optimized crystal structure of Nd6HoEr12, with properties calculated at the PBE level.

```
19
Lattice="8.403 1.296 1.552 0.007 8.502 1.552 0.007 0.008 8.642" Properties=species:S:1:pos:R:3 pbc="T T T"
Er 4.319 2.331 5.538
Nd 7.029 3.064 3.671
Er 6.767 5.182 6.209
Er 4.098 7.475 6.209
Nd 1.387 6.742 8.076
Er 1.650 4.623 5.538
Er 7.259 8.457 7.130
Er 7.259 5.504 9.595
Er 4.077 1.796 2.152
Nd 1.962 2.287 7.949
Er 4.340 8.009 9.595
Er 1.158 1.349 4.617
Er 4.097 4.774 8.464
Er 4.320 5.032 3.283
Nd 1.963 7.413 3.670
Ho 0.000 0.000 0.000
Nd 6.453 2.393 8.077
Er 1.158 4.302 2.152
Nd 6.454 7.518 3.798
```

Computed properties:
The offset from the most stable computed form is 0.0 meV per atom. For the density of states at the Fermi level, the calculation gives 1.522 states/eV per atom. For the energy relative to the elements, the calculation gives 0.126 eV/atom.

[10]
Below is an optimized crystal structure of NdHo3Er2, with properties calculated at the PBE level.

```
12
Lattice="-6.577 1.039 -2.575 7.034 -5.110 -5.210 1.237 -5.377 4.517" Properties=species:S:1:pos:R:3 pbc="T T T"
Er 3.123 -5.014 -2.611
Ho -0.164 -4.503 -3.902
Ho 2.411 -5.673 -6.011
Nd 3.030 -8.361 -3.751
Ho 1.858 -4.946 0.633
Er -1.429 -4.435 -0.658
Er -2.053 -1.738 -2.913
Ho 0.451 -7.184 -1.639
Er 3.747 -7.711 -0.356
Ho -0.717 -3.775 2.743
Nd -1.336 -1.087 0.482
Ho 1.244 -2.265 -1.629
```

Computed properties:
The offset from the most stable computed form is 0.0 meV per atom. For the density of states at the Fermi level, the calculation gives 1.268 states/eV per atom. For the energy relative to the elements, the calculation gives -0.003 eV/atom.

[11]
Below is an optimized crystal structure of NdHoEr2, with properties calculated at the PBE level.

```
4
Lattice="5.666 0.000 0.000 2.833 4.907 0.000 2.833 1.636 4.626" Properties=species:S:1:pos:R:3 pbc="T T T"
Nd 0.000 0.000 0.000
Er 2.833 1.636 1.157
Ho 5.666 3.271 2.313
Er 8.499 4.907 3.470
```

Computed properties:
The offset from the most stable computed form is 123.2 meV per atom. For the density of states at the Fermi level, the calculation gives 1.822 states/eV per atom. For the energy relative to the elements, the calculation gives 0.125 eV/atom.

[12]
Below is an optimized crystal structure of Nd12Ho5Er, with properties calculated at the PBE level.

```
18
Lattice="-5.504 -14.323 -0.534 3.824 -9.802 2.772 -1.952 0.573 4.723" Properties=species:S:1:pos:R:3 pbc="T T T"
Nd -4.219 -17.563 0.391
Ho -1.118 -16.084 1.493
Nd 0.587 -5.988 6.569
Nd -5.612 -8.952 4.366
Ho -4.288 -14.916 2.840
Ho -3.728 -6.875 2.094
Nd -0.629 -5.393 3.196
Ho 0.656 -8.635 4.120
Nd -1.883 -2.072 2.275
Nd -1.844 -4.797 -0.178
Nd -3.003 -18.159 3.765
Nd -5.573 -11.678 1.914
Nd -4.357 -12.269 5.289
Nd -2.444 -10.117 3.019
Nd -1.188 -13.435 3.942
Er 0.000 0.000 0.000
Ho -0.562 -8.041 0.745
Nd 0.725 -11.282 1.671
```

Computed properties:
For the density of states at the Fermi level, the calculation gives 1.549 states/eV per atom. For the energy relative to the elements, the calculation gives 0.021 eV/atom.

[13]
Below is an optimized crystal structure of Nd10HoEr6, with properties calculated at the PBE level.

```
17
Lattice="-0.324 -5.880 3.591 0.816 -5.133 -8.332 8.058 2.596 4.978" Properties=species:S:1:pos:R:3 pbc="T T T"
Ho -0.162 -2.940 1.795
Nd 3.230 -2.557 -3.896
Er 5.502 -3.437 -0.997
Er 0.200 -3.728 -1.951
Nd 5.644 0.019 0.541
Nd 5.482 -2.920 2.336
Nd 5.780 0.804 4.265
Er 4.865 -2.405 5.613
Nd 2.384 -1.776 -0.266
Nd 6.166 -6.641 0.502
Er 0.293 -7.285 -2.791
Er 3.048 -4.980 1.233
Nd 3.068 -5.497 -2.100
Er 2.869 -0.878 2.956
Nd 0.532 -4.797 -5.380
Nd 1.954 -4.088 4.303
Nd -0.040 -6.216 0.638
```

Computed properties:
For the density of states at the Fermi level, the calculation gives 1.487 states/eV per atom. For the energy relative to the elements, the calculation gives 0.128 eV/atom.

[14]
Below is an optimized crystal structure of Nd2Ho5Er3, with properties calculated at the PBE level.

```
20
Lattice="8.347 1.616 -3.911 0.309 8.506 -4.002 -1.732 -1.942 10.785" Properties=species:S:1:pos:R:3 pbc="T T T"
Er 1.111 3.532 4.972
Nd 5.207 -0.072 4.948
Ho 0.798 3.042 0.485
Ho 6.126 5.137 2.388
Ho 3.508 2.112 2.763
Er 6.999 2.007 3.431
Nd 4.083 2.646 -0.415
Ho 4.908 7.741 -3.224
Ho 2.387 4.833 -2.594
Er 5.812 4.648 -2.100
Ho -0.539 5.523 2.642
Er -0.076 6.173 -0.558
Ho 2.016 0.439 6.096
Ho 4.536 3.347 5.467
Er 6.380 1.357 -2.616
Nd 1.717 8.252 -2.075
Er 0.543 6.823 5.489
Ho 3.415 6.067 0.110
Ho 7.462 2.657 0.230
Nd 2.840 5.534 3.287
```

Computed properties:
The offset from the most stable computed form is 0.0 meV per atom. For the density of states at the Fermi level, the calculation gives 1.761 states/eV per atom. For the energy relative to the elements, the calculation gives 0.197 eV/atom.

[15]
Below is an optimized crystal structure of Nd5HoEr4, with properties calculated at the PBE level.

```
10
Lattice="-1.676 2.777 -1.525 -5.481 -6.609 -6.014 -6.127 -2.428 6.523" Properties=species:S:1:pos:R:3 pbc="T T T"
Er -3.845 0.446 0.825
Nd -4.837 -3.049 -0.237
Nd -7.080 -0.866 1.991
Er -11.353 -4.607 -0.129
Nd -3.578 -1.916 -3.769
Er -9.439 -6.705 -1.841
Er -1.931 -1.652 -0.887
Nd -6.204 -5.394 -3.007
Nd -8.447 -3.211 -0.779
Ho -0.838 1.389 -0.762
```

Computed properties:
For the density of states at the Fermi level, the calculation gives 1.540 states/eV per atom. For the energy relative to the elements, the calculation gives 0.144 eV/atom.

[16]
Below is an optimized crystal structure of Nd4HoEr5, with properties calculated at the PBE level.

```
10
Lattice="-1.648 -2.743 -1.464 6.238 1.210 -9.289 6.697 -3.914 3.996" Properties=species:S:1:pos:R:3 pbc="T T T"
Er 7.968 -0.680 -7.702
Nd 5.056 0.567 -6.754
Er 5.829 -4.282 -2.792
Er 3.318 -4.767 0.944
Er 5.457 -1.165 -3.966
Nd 6.230 -6.014 -0.004
Nd 8.694 -2.713 -4.737
Nd 2.593 -2.734 -2.021
Ho -0.824 -1.371 -0.732
Er 2.295 -0.766 -5.377
```

Computed properties:
The offset from the most stable computed form is 0.0 meV per atom. For the density of states at the Fermi level, the calculation gives 1.343 states/eV per atom. For the energy relative to the elements, the calculation gives 0.193 eV/atom.

[17]
Below is an optimized crystal structure of Nd12HoEr7, with properties calculated at the PBE level.

```
20
Lattice="8.539 1.261 1.892 -1.163 8.553 1.892 -1.163 -1.548 8.622" Properties=species:S:1:pos:R:3 pbc="T T T"
Nd 0.425 4.671 8.364
Er -0.932 7.665 7.615
Er 7.144 0.600 4.791
Er 4.173 0.238 10.006
Nd 3.143 7.404 8.428
Nd 3.858 4.389 10.079
Nd 4.369 7.061 4.797
Er 7.622 6.551 4.074
Nd 2.354 3.876 2.327
Nd 6.238 5.822 7.932
Er -1.410 1.714 8.332
Nd 1.843 1.204 7.609
Nd 5.568 2.054 7.532
Nd -0.026 2.443 4.473
Er 2.038 8.027 2.399
Nd 5.787 3.594 4.042
Er 3.106 4.133 6.203
Nd 3.069 0.861 3.978
Nd 0.644 6.211 4.874
Ho 0.000 0.000 0.000
```

Computed properties:
The offset from the most stable computed form is 0.0 meV per atom. For the density of states at the Fermi level, the calculation gives 1.933 states/eV per atom. For the energy relative to the elements, the calculation gives 0.223 eV/atom.

[18]
Below is an optimized crystal structure of Nd3Ho2Er7, with properties calculated at the PBE level.

```
12
Lattice="-2.974 0.308 -1.920 1.663 -4.473 -3.292 -8.997 -11.019 12.168" Properties=species:S:1:pos:R:3 pbc="T T T"
Er 0.000 0.000 0.000
Nd -0.655 -2.083 -2.606
Er -5.899 -6.925 4.740
Er -7.566 -12.544 6.420
Nd -2.931 -5.032 3.733
Er -7.191 -10.821 9.404
Nd -4.402 -10.460 5.143
Ho -2.932 -6.237 0.255
Er -2.742 -2.641 0.536
Er -4.408 -8.259 2.216
Er -0.142 -4.671 -0.528
Ho -7.375 -8.948 6.701
```

Computed properties:
For the density of states at the Fermi level, the calculation gives 1.225 states/eV per atom. For the energy relative to the elements, the calculation gives 0.088 eV/atom.

[19]
Below is an optimized crystal structure of Nd3Ho3Er4, with properties calculated at the PBE level.

```
10
Lattice="-0.504 -3.494 -1.010 5.523 1.373 -7.508 7.494 -2.557 5.106" Properties=species:S:1:pos:R:3 pbc="T T T"
Er 11.398 -1.027 -2.139
Nd 3.989 -2.135 -1.280
Er 6.757 -1.088 0.391
Ho 3.801 -1.291 2.567
Ho 6.899 -3.620 2.404
Er 1.608 -0.136 -0.333
Nd 8.526 -2.548 -2.117
Er 6.263 -0.102 -2.775
Ho 10.209 -1.874 1.385
Nd 5.613 -1.055 -5.827
```

Computed properties:
For the density of states at the Fermi level, the calculation gives 0.764 states/eV per atom. For the energy relative to the elements, the calculation gives 0.097 eV/atom.